1.
Compound: Pu3In
Source: Alexandria via LeMat-Bulk
Functional: PBE
Structure: relaxed

Lattice parameters (Å, degrees): 3.561 3.222 8.241 90.00 90.00 90.00
Each line ends with the local moment (μB).
Fractional positions:
In 0.000 0.000 0.944  -0.02
Pu 0.000 0.500 0.531  2.94
Pu 0.500 0.500 0.226  -5.45
Pu 0.500 0.000 0.631  -3.12

## Properties
energy	-44.52	eV for the cell shown
SG	Pmm2 (25)
excess energy over the best structure of this formula in the dataset	307	meV per atom

---

2.
Compound: Nd2AlGe4Pt3
Source: Alexandria via LeMat-Bulk
Functional: PBE
Structure: relaxed

Lattice parameters (Å, degrees): 4.248 4.248 10.769 90.00 90.00 90.00
Fractional positions:
Nd 0.500 0.000 0.248
Nd 0.000 0.500 0.752
Al 0.500 0.500 0.500
Ge 0.500 0.500 0.000
Ge 0.000 0.000 0.000
Ge 0.500 0.000 0.642
Ge 0.000 0.500 0.358
Pt 0.000 0.000 0.500
Pt 0.500 0.000 0.871
Pt 0.000 0.500 0.129

## Properties
energy	-58.57	eV for the cell shown
SG	P-4m2 (115)

---

3.
Compound: Th6Sb3Ru
Source: Alexandria via LeMat-Bulk
Functional: PBE
Structure: relaxed

Lattice parameters (Å, degrees): 6.428 9.995 9.995 110.51 90.00 90.00
Fractional positions:
Th 0.083 0.762 0.611
Th 0.583 0.611 0.762
Th 0.260 0.402 0.902
Th 0.760 0.902 0.402
Th 0.329 0.013 0.987
Th 0.737 0.239 0.761
Th 0.237 0.761 0.239
Th 0.829 0.987 0.013
Th 0.260 0.098 0.598
Th 0.760 0.598 0.098
Th 0.083 0.389 0.238
Th 0.583 0.238 0.389
Sb 0.593 0.906 0.702
Sb 0.093 0.702 0.906
Sb 0.996 0.418 0.582
Sb 0.496 0.582 0.418
Sb 0.093 0.094 0.298
Sb 0.593 0.298 0.094
Ru 0.052 0.134 0.866
Ru 0.552 0.866 0.134

## Properties
energy	-141.05	eV for the cell shown
formation energy (no corrections)	-0.44	eV/atom
SG	Cmc2_1 (36)